Record 1
Hf3NiAs: relaxed, GGA-PBEsol.

## Properties
- density of states at the Fermi level (states/eV/f.u.) = 3.48
- formation energy from the elements (kJ/mol of formula units) = 253
- V (Å³/cell) = 111.97
- space group = Pm-3m (221)

Lattice parameters (Å, degrees): 4.8198 4.8198 4.8198 90.00 90.00 90.00
Element x y z (fractional)
Hf (0.0000, 0.0000, 0.5000)
Hf (0.0000, 0.5000, 0.0000)
Hf (0.5000, 0.0000, 0.0000)
Ni (0.5000, 0.5000, 0.5000)
As (0.0000, 0.0000, 0.0000)

Record 2
Sn2N2O: relaxed, GGA-PBEsol.

## Properties
- formation energy from raw total energies (meV per atom) = -450
- V (Å³/cell) = 552.62
- space group = P-3m1 (164)

Lattice parameters (Å, degrees): 6.3862 6.3862 15.6462 90.00 90.00 120.00
Element x y z (fractional)
Sn (0.0000, 0.0000, 0.0000)
Sn (0.0000, 0.0000, 0.3718)
Sn (0.0000, 0.0000, 0.6282)
Sn (0.0000, 0.5000, 0.5000)
Sn (0.1680, 0.3359, 0.8344)
Sn (0.1680, 0.8320, 0.8344)
Sn (0.3333, 0.6667, 0.0447)
Sn (0.3333, 0.6667, 0.6682)
Sn (0.3359, 0.1680, 0.1656)
Sn (0.5000, 0.0000, 0.5000)
Sn (0.5000, 0.5000, 0.5000)
Sn (0.6641, 0.8320, 0.8344)
Sn (0.6667, 0.3333, 0.3318)
Sn (0.6667, 0.3333, 0.9553)
Sn (0.8320, 0.1680, 0.1656)
Sn (0.8320, 0.6641, 0.1656)
N (0.0000, 0.0000, 0.2391)
N (0.0000, 0.0000, 0.7609)
N (0.1549, 0.3098, 0.0874)
N (0.1549, 0.8451, 0.0874)
N (0.1784, 0.3567, 0.5822)
N (0.1784, 0.8216, 0.5822)
N (0.3098, 0.1549, 0.9126)
N (0.3333, 0.6667, 0.9113)
N (0.3567, 0.1784, 0.4178)
N (0.6433, 0.8216, 0.5822)
N (0.6667, 0.3333, 0.0887)
N (0.6902, 0.8451, 0.0874)
N (0.8216, 0.1784, 0.4178)
N (0.8216, 0.6433, 0.4178)
N (0.8451, 0.1549, 0.9126)
N (0.8451, 0.6902, 0.9126)
O (0.0459, 0.5230, 0.7571)
O (0.3333, 0.6667, 0.4361)
O (0.4770, 0.5230, 0.7571)
O (0.4770, 0.9541, 0.7571)
O (0.5230, 0.0459, 0.2429)
O (0.5230, 0.4770, 0.2429)
O (0.6667, 0.3333, 0.5639)
O (0.9541, 0.4770, 0.2429)